Record 1
VASP calculation (PBE-GGA) on an optimized crystal structure of Hf2AlTlPt.

Output
SG: No. 123

Lattice parameters (Å, degrees): 4.960 4.960 4.793 90.00 90.00 90.00
Element x y z (fractional)
Hf: 0.000 0.500 0.000
Hf: 0.500 0.000 0.000
Al: 0.000 0.000 0.000
Tl: 0.000 0.000 0.500
Pt: 0.500 0.500 0.500


Record 2
VASP calculation (PBE-GGA) on an optimized crystal structure of HfAl2PtW.

Output
SG: No. 123

Lattice parameters (Å, degrees): 4.562 4.562 5.095 90.00 90.00 90.00
Element x y z (fractional)
Hf: 0.000 0.000 0.000
Al: 0.000 0.500 0.500
Al: 0.500 0.000 0.500
Pt: 0.000 0.000 0.500
W: 0.500 0.500 0.000


Record 3
VASP calculation (PBE-GGA) on an optimized crystal structure of HfAlZnPt2.

Output
SG: No. 123

Lattice parameters (Å, degrees): 4.542 4.542 5.005 90.00 90.00 90.00
Element x y z (fractional)
Hf: 0.000 0.000 0.000
Al: 0.000 0.000 0.500
Zn: 0.500 0.500 0.000
Pt: 0.000 0.500 0.500
Pt: 0.500 0.000 0.500


Record 4
VASP calculation (PBE-GGA) on an optimized crystal structure of Pu2HfAl6.

Output
SG: No. 191

Lattice parameters (Å, degrees): 7.926 7.926 3.223 90.00 90.00 120.00
Element x y z (fractional)
Pu: 0.333 0.667 0.000
Pu: 0.667 0.333 0.000
Hf: 0.000 0.000 0.000
Al: 0.000 0.328 0.500
Al: 0.000 0.672 0.500
Al: 0.328 0.000 0.500
Al: 0.328 0.328 0.500
Al: 0.672 0.000 0.500
Al: 0.672 0.672 0.500


Record 5
VASP calculation (PBE-GGA) on an optimized crystal structure of PuHfAl2.

Output
Excess energy over the best structure of this formula in the dataset, eV per formula unit: 0.061
SG: No. 47

Lattice parameters (Å, degrees): 2.953 4.267 6.499 90.00 90.00 90.00
Element x y z (fractional)
Pu: 0.000 0.000 0.000
Hf: 0.000 0.000 0.500
Al: 0.500 0.500 0.277
Al: 0.500 0.500 0.723


Record 6
VASP calculation (PBE-GGA) on an optimized crystal structure of PuHfAl2.

Output
Excess energy over the best structure of this formula in the dataset, eV per formula unit: 0.566
SG: No. 123

Lattice parameters (Å, degrees): 4.351 4.351 4.325 90.00 90.00 90.00
Element x y z (fractional)
Pu: 0.000 0.000 0.000
Hf: 0.500 0.500 0.000
Al: 0.000 0.500 0.500
Al: 0.500 0.000 0.500


Record 7
VASP calculation (PBE-GGA) on an optimized crystal structure of PuHfAl.

Output
Excess energy over the best structure of this formula in the dataset, eV per formula unit: 0.599
SG: No. 187

Lattice parameters (Å, degrees): 4.981 4.981 2.931 90.00 90.00 120.00
Element x y z (fractional)
Pu: 0.000 0.000 0.000
Hf: 0.333 0.667 0.000
Al: 0.667 0.333 0.500


Record 8
VASP calculation (PBE-GGA) on an optimized crystal structure of PuHfAl2.

Output
Excess energy over the best structure of this formula in the dataset, eV per formula unit: 0.435
SG: No. 225

Lattice parameters (Å, degrees): 4.875 4.875 4.875 60.00 60.00 60.00
Element x y z (fractional)
Pu: 0.000 0.000 0.000
Hf: 0.500 0.500 0.500
Al: 0.250 0.250 0.250
Al: 0.750 0.750 0.750


Record 9
VASP calculation (PBE-GGA) on an optimized crystal structure of PuHfAl2.

Output
Excess energy over the best structure of this formula in the dataset, eV per formula unit: 0.000
SG: No. 123

Lattice parameters (Å, degrees): 3.020 3.020 8.777 90.00 90.00 90.00
Element x y z (fractional)
Pu: 0.000 0.000 0.000
Hf: 0.000 0.000 0.500
Al: 0.500 0.500 0.266
Al: 0.500 0.500 0.734


Record 10
VASP calculation (PBE-GGA) on an optimized crystal structure of PuHfAl.

Output
Excess energy over the best structure of this formula in the dataset, eV per formula unit: 0.000
SG: No. 107

Lattice parameters (Å, degrees): 7.220 7.220 7.220 155.56 155.56 34.83
Element x y z (fractional)
Pu: 0.000 0.000 0.000
Hf: 0.688 0.688 0.000
Al: 0.333 0.333 0.000


Record 11
VASP calculation (PBE-GGA) on an optimized crystal structure of PuHfZrAl.

Output
SG: No. 216

Lattice parameters (Å, degrees): 4.928 4.928 4.928 60.00 60.00 60.00
Element x y z (fractional)
Pu: 0.000 0.000 0.000
Hf: 0.750 0.750 0.750
Zr: 0.250 0.250 0.250
Al: 0.500 0.500 0.500


Record 12
VASP calculation (PBE-GGA) on an optimized crystal structure of RbHfAl.

Output
Excess energy over the best structure of this formula in the dataset, eV per formula unit: 0.009
SG: No. 59

Lattice parameters (Å, degrees): 3.354 4.141 14.049 90.00 90.00 90.00
Element x y z (fractional)
Rb: 0.250 0.250 0.162
Rb: 0.750 0.750 0.838
Hf: 0.250 0.250 0.437
Hf: 0.750 0.750 0.563
Al: 0.250 0.250 0.646
Al: 0.750 0.750 0.354


Record 13
VASP calculation (PBE-GGA) on an optimized crystal structure of RbHfAl.

Output
Excess energy over the best structure of this formula in the dataset, eV per formula unit: 2.292
SG: No. 194

Lattice parameters (Å, degrees): 5.495 5.495 6.075 90.00 90.00 120.00
Element x y z (fractional)
Rb: 0.000 0.000 0.000
Rb: 0.000 0.000 0.500
Hf: 0.333 0.667 0.250
Hf: 0.667 0.333 0.750
Al: 0.333 0.667 0.750
Al: 0.667 0.333 0.250


Record 14
VASP calculation (PBE-GGA) on an optimized crystal structure of RbHfAl.

Output
Excess energy over the best structure of this formula in the dataset, eV per formula unit: 0.000
SG: No. 12

Lattice parameters (Å, degrees): 13.440 13.440 3.617 91.35 91.35 18.93
Element x y z (fractional)
Rb: 0.165 0.165 0.278
Rb: 0.835 0.835 0.722
Hf: 0.456 0.456 0.742
Hf: 0.544 0.544 0.258
Al: 0.039 0.039 0.757
Al: 0.961 0.961 0.243


Record 15
VASP calculation (PBE-GGA) on an optimized crystal structure of RbHfAl.

Output
Excess energy over the best structure of this formula in the dataset, eV per formula unit: 2.752
SG: No. 187

Lattice parameters (Å, degrees): 4.747 4.747 6.051 90.00 90.00 120.00
Element x y z (fractional)
Rb: 0.000 0.000 0.000
Hf: 0.667 0.333 0.500
Al: 0.333 0.667 0.500


Record 16
VASP calculation (PBE-GGA) on an optimized crystal structure of RbHfAl.

Output
Excess energy over the best structure of this formula in the dataset, eV per formula unit: 1.044
SG: No. 62

Lattice parameters (Å, degrees): 5.487 5.130 14.341 90.00 90.00 90.00
Element x y z (fractional)
Rb: 0.250 0.250 0.032
Rb: 0.250 0.750 0.532
Rb: 0.750 0.250 0.468
Rb: 0.750 0.750 0.968
Hf: 0.001 0.250 0.750
Hf: 0.499 0.750 0.250
Hf: 0.501 0.250 0.750
Hf: 0.999 0.750 0.250
Al: 0.249 0.250 0.283
Al: 0.251 0.750 0.783
Al: 0.749 0.250 0.217
Al: 0.751 0.750 0.717


Record 17
VASP calculation (PBE-GGA) on an optimized crystal structure of RbHfAl2.

Output
Excess energy over the best structure of this formula in the dataset, eV per formula unit: 0.000
SG: No. 225

Lattice parameters (Å, degrees): 5.192 5.192 5.192 60.00 60.00 60.00
Element x y z (fractional)
Rb: 0.000 0.000 0.000
Hf: 0.500 0.500 0.500
Al: 0.250 0.250 0.250
Al: 0.750 0.750 0.750


Record 18
VASP calculation (PBE-GGA) on an optimized crystal structure of RbHfAl.

Output
Excess energy over the best structure of this formula in the dataset, eV per formula unit: 4.726
SG: No. 194

Lattice parameters (Å, degrees): 6.221 6.221 10.658 90.00 90.00 120.00
Element x y z (fractional)
Rb: 0.333 0.667 0.250
Rb: 0.667 0.333 0.750
Hf: 0.000 0.000 0.000
Hf: 0.000 0.000 0.500
Al: 0.000 0.000 0.250
Al: 0.000 0.000 0.750


Record 19
VASP calculation (PBE-GGA) on an optimized crystal structure of RbHfAl.

Output
Excess energy over the best structure of this formula in the dataset, eV per formula unit: 1.548
SG: No. 62

Lattice parameters (Å, degrees): 9.078 4.777 8.715 90.00 90.00 90.00
Element x y z (fractional)
Rb: 0.013 0.250 0.136
Rb: 0.487 0.750 0.636
Rb: 0.513 0.250 0.364
Rb: 0.987 0.750 0.864
Hf: 0.099 0.750 0.454
Hf: 0.401 0.250 0.954
Hf: 0.599 0.750 0.046
Hf: 0.901 0.250 0.546
Al: 0.184 0.250 0.649
Al: 0.316 0.750 0.149
Al: 0.684 0.250 0.851
Al: 0.816 0.750 0.351


Record 20
VASP calculation (PBE-GGA) on an optimized crystal structure of RbHfAl.

Output
Excess energy over the best structure of this formula in the dataset, eV per formula unit: 0.010
SG: No. 2

Lattice parameters (Å, degrees): 3.352 4.141 14.123 90.62 95.15 90.00
Element x y z (fractional)
Rb: 0.122 0.237 0.162
Rb: 0.878 0.763 0.838
Hf: 0.226 0.248 0.438
Hf: 0.774 0.752 0.562
Al: 0.305 0.256 0.645
Al: 0.695 0.744 0.355


Record 21
VASP calculation (PBE-GGA) on an optimized crystal structure of Rb3HfAl.

Output
Excess energy over the best structure of this formula in the dataset, eV per formula unit: 0.000
SG: No. 221

Lattice parameters (Å, degrees): 6.829 6.829 6.829 90.00 90.00 90.00
Element x y z (fractional)
Rb: 0.000 0.000 0.500
Rb: 0.000 0.500 0.000
Rb: 0.500 0.000 0.000
Hf: 0.500 0.500 0.500
Al: 0.000 0.000 0.000


Record 22
VASP calculation (PBE-GGA) on an optimized crystal structure of RbHfAl.

Output
Excess energy over the best structure of this formula in the dataset, eV per formula unit: 3.506
SG: No. 216

Lattice parameters (Å, degrees): 5.195 5.195 5.195 60.00 60.00 60.00
Element x y z (fractional)
Rb: 0.000 0.000 0.000
Hf: 0.500 0.500 0.500
Al: 0.250 0.250 0.250


Record 23
VASP calculation (PBE-GGA) on an optimized crystal structure of RbHfAl.

Output
Excess energy over the best structure of this formula in the dataset, eV per formula unit: 0.694
SG: No. 1

Lattice parameters (Å, degrees): 4.645 4.649 12.908 99.96 90.29 119.92
Element x y z (fractional)
Rb: 0.000 0.000 0.000
Rb: 0.224 0.429 0.661
Hf: 0.104 0.198 0.308
Hf: 0.481 0.949 0.436
Al: 0.408 0.807 0.220
Al: 0.797 0.583 0.386


Record 24
VASP calculation (PBE-GGA) on an optimized crystal structure of RbHfAl2.

Output
Excess energy over the best structure of this formula in the dataset, eV per formula unit: 0.589
SG: No. 141

Lattice parameters (Å, degrees): 10.511 10.511 10.511 149.78 149.78 43.27
Element x y z (fractional)
Rb: 0.375 0.625 0.750
Rb: 0.625 0.375 0.250
Hf: 0.125 0.875 0.250
Hf: 0.875 0.125 0.750
Al: 0.000 0.000 0.000
Al: 0.000 0.000 0.500
Al: 0.000 0.500 0.000
Al: 0.500 0.000 0.500


Record 25
VASP calculation (PBE-GGA) on an optimized crystal structure of RbHf2Al.

Output
SG: No. 141

Lattice parameters (Å, degrees): 10.831 10.831 10.831 150.80 150.80 41.77
Element x y z (fractional)
Rb: 0.375 0.625 0.750
Rb: 0.625 0.375 0.250
Hf: 0.000 0.000 0.000
Hf: 0.000 0.000 0.500
Hf: 0.000 0.500 0.000
Hf: 0.500 0.000 0.500
Al: 0.125 0.875 0.250
Al: 0.875 0.125 0.750


Record 26
VASP calculation (PBE-GGA) on an optimized crystal structure of RbHfAl3.

Output
Excess energy over the best structure of this formula in the dataset, eV per formula unit: 6.673
SG: No. 221

Lattice parameters (Å, degrees): 5.173 5.173 5.173 90.00 90.00 90.00
Element x y z (fractional)
Rb: 0.000 0.000 0.000
Hf: 0.500 0.500 0.500
Al: 0.000 0.000 0.500
Al: 0.000 0.500 0.000
Al: 0.500 0.000 0.000


Record 27
VASP calculation (PBE-GGA) on an optimized crystal structure of RbHfAl.

Output
Excess energy over the best structure of this formula in the dataset, eV per formula unit: 0.329
SG: No. 2

Lattice parameters (Å, degrees): 4.754 4.754 12.348 85.67 85.36 60.31
Element x y z (fractional)
Rb: 0.212 0.203 0.189
Rb: 0.788 0.797 0.811
Hf: 0.168 0.168 0.502
Hf: 0.832 0.832 0.498
Al: 0.485 0.488 0.604
Al: 0.515 0.512 0.396


Record 28
VASP calculation (PBE-GGA) on an optimized crystal structure of RbHfAl.

Output
Excess energy over the best structure of this formula in the dataset, eV per formula unit: 0.866
SG: No. 1

Lattice parameters (Å, degrees): 3.185 6.492 9.719 70.74 88.95 75.85
Element x y z (fractional)
Rb: 0.000 0.000 0.000
Rb: 0.131 0.635 0.741
Hf: 0.308 0.395 0.208
Hf: 0.993 0.006 0.378
Al: 0.371 0.234 0.540
Al: 0.692 0.604 0.381


| no. | formation energy from the elements (eV per atom) |
| --- | --- |
| 1 | 0.857 |
| 2 | 0.606 |
| 3 | 0.470 |
| 4 | -0.306 |
| 5 | -0.262 |
| 6 | -0.136 |
| 7 | 0.095 |
| 8 | -0.169 |
| 9 | -0.278 |
| 10 | -0.105 |
| 11 | -0.022 |
| 12 | 0.105 |
| 13 | 0.866 |
| 14 | 0.102 |
| 15 | 1.019 |
| 16 | 0.450 |
| 17 | 0.715 |
| 18 | 1.678 |
| 19 | 0.618 |
| 20 | 0.105 |
| 21 | 1.385 |
| 22 | 1.271 |
| 23 | 0.333 |
| 24 | 0.862 |
| 25 | 1.247 |
| 26 | 1.965 |
| 27 | 0.212 |
| 28 | 0.391 |